Computed, not measured: BaMnO4 after structural relaxation at the GGA+U level of DFT.

* energy: -6.4644 eV/atom
* N(E_F): 0.048 states/eV/atom
* crystal system: orthorhombic

abc: 9.200 5.649 7.439
angles: 90.00 90.00 90.00
Fractional positions:
Ba 0.184 0.250 0.158
Ba 0.316 0.750 0.658
Ba 0.684 0.250 0.342
Ba 0.816 0.750 0.842
Mn 0.061 0.250 0.692
Mn 0.439 0.750 0.192
Mn 0.561 0.250 0.808
Mn 0.939 0.750 0.308
O 0.081 0.011 0.822
O 0.081 0.489 0.822
O 0.101 0.750 0.401
O 0.191 0.250 0.538
O 0.309 0.750 0.038
O 0.399 0.250 0.901
O 0.419 0.511 0.322
O 0.419 0.989 0.322
O 0.581 0.011 0.678
O 0.581 0.489 0.678
O 0.601 0.750 0.099
O 0.691 0.250 0.962
O 0.809 0.750 0.462
O 0.899 0.250 0.599
O 0.919 0.511 0.178
O 0.919 0.989 0.178